[1]
# AgS4I, optimized geometry, DFT PBE-GGA
data_AgS4I
_space_group_name_H-M_alt 'P -1'
_space_group_IT_number 2
_cell_length_a 5.326
_cell_length_b 7.336
_cell_length_c 10.597
_cell_angle_alpha 93.80
_cell_angle_beta 93.89
_cell_angle_gamma 106.03
loop_
_space_group_symop_operation_xyz
'x,y,z'
'-x,-y,-z'
loop_
_atom_site_label
_atom_site_fract_x
_atom_site_fract_y
_atom_site_fract_z
Ag1 0.100 0.218 0.092
S1 0.236 0.394 0.899
S2 0.351 0.957 0.052
S3 0.410 0.590 0.135
S4 0.440 0.366 0.484
I1 0.049 0.844 0.668
# E: -40.34 eV/cell

***

[2]
# Ag2SeS2I2, optimized geometry, DFT PBE-GGA
data_Ag2SeS2I2
_space_group_name_H-M_alt 'C 1 2/m 1'
_space_group_IT_number 12
_cell_length_a 7.361
_cell_length_b 4.906
_cell_length_c 10.829
_cell_angle_alpha 90.00
_cell_angle_beta 94.50
_cell_angle_gamma 90.00
loop_
_space_group_symop_operation_xyz
'x,y,z'
'-x,-y,-z'
'-x,y,-z'
'x,-y,z'
'x+1/2,y+1/2,z'
'-x+1/2,-y+1/2,-z'
'-x+1/2,y+1/2,-z'
'x+1/2,-y+1/2,z'
loop_
_atom_site_label
_atom_site_fract_x
_atom_site_fract_y
_atom_site_fract_z
Ag1 0.213 0.000 0.311
Se1 0.000 0.500 0.500
S1 0.242 0.500 0.361
I1 0.085 0.000 0.881
# E: -38.66 eV/cell

***

[3]
# Si2AgSI, optimized geometry, DFT PBE-GGA
data_Si2AgSI
_space_group_name_H-M_alt 'P 4/m m m'
_space_group_IT_number 123
_space_group_name_Hall '-P 4 2'
_cell_length_a 4.866
_cell_length_b 4.866
_cell_length_c 5.636
_cell_angle_alpha 90.00
_cell_angle_beta 90.00
_cell_angle_gamma 90.00
loop_
_atom_site_label
_atom_site_fract_x
_atom_site_fract_y
_atom_site_fract_z
Si1 0.000 0.500 0.000
Ag1 0.000 0.000 0.000
S1 0.500 0.500 0.500
I1 0.000 0.000 0.500
# E: -13.77 eV/cell

***

[4]
# Tl2AgSI, optimized geometry, DFT PBE-GGA
data_Tl2AgSI
_space_group_name_H-M_alt 'P 4/m m m'
_space_group_IT_number 123
_space_group_name_Hall '-P 4 2'
_cell_length_a 6.202
_cell_length_b 6.202
_cell_length_c 4.688
_cell_angle_alpha 90.00
_cell_angle_beta 90.00
_cell_angle_gamma 90.00
loop_
_atom_site_label
_atom_site_fract_x
_atom_site_fract_y
_atom_site_fract_z
Tl1 0.000 0.500 0.000
Ag1 0.000 0.000 0.500
S1 0.000 0.000 0.000
I1 0.500 0.500 0.500
# E: -14.69 eV/cell

***

[5]
# TlAg2SI, optimized geometry, DFT PBE-GGA
data_TlAg2SI
_space_group_name_H-M_alt 'P 1 21/m 1'
_space_group_IT_number 11
_cell_length_a 7.539
_cell_length_b 4.474
_cell_length_c 9.096
_cell_angle_alpha 90.00
_cell_angle_beta 104.98
_cell_angle_gamma 90.00
loop_
_space_group_symop_operation_xyz
'x,y,z'
'-x,-y,-z'
'-x,y+1/2,-z'
'x,-y+1/2,z'
loop_
_atom_site_label
_atom_site_fract_x
_atom_site_fract_y
_atom_site_fract_z
Tl1 0.061 0.250 0.313
Ag1 0.449 0.250 0.591
Ag2 0.463 0.750 0.812
S1 0.265 0.750 0.542
I1 0.282 0.750 0.067
# Distance to the lowest polymorph of the same formula: 0.0000 eV/atom

***

[6]
# TlAg2SI, optimized geometry, DFT PBE-GGA
data_TlAg2SI
_space_group_name_H-M_alt 'P 4/m m m'
_space_group_IT_number 123
_space_group_name_Hall '-P 4 2'
_cell_length_a 4.848
_cell_length_b 4.848
_cell_length_c 6.528
_cell_angle_alpha 90.00
_cell_angle_beta 90.00
_cell_angle_gamma 90.00
loop_
_atom_site_label
_atom_site_fract_x
_atom_site_fract_y
_atom_site_fract_z
Tl1 0.000 0.000 0.000
Ag1 0.000 0.500 0.500
S1 0.000 0.000 0.500
I1 0.500 0.500 0.000
# Distance to the lowest polymorph of the same formula: 0.0400 eV/atom

***

[7]
# TlAg2SI, optimized geometry, DFT PBE-GGA
data_TlAg2SI
_space_group_name_H-M_alt 'P 4/m m m'
_space_group_IT_number 123
_space_group_name_Hall '-P 4 2'
_cell_length_a 5.300
_cell_length_b 5.300
_cell_length_c 6.514
_cell_angle_alpha 90.00
_cell_angle_beta 90.00
_cell_angle_gamma 90.00
loop_
_atom_site_label
_atom_site_fract_x
_atom_site_fract_y
_atom_site_fract_z
Tl1 0.000 0.000 0.000
Ag1 0.000 0.500 0.500
S1 0.500 0.500 0.000
I1 0.000 0.000 0.500
# Distance to the lowest polymorph of the same formula: 0.7894 eV/atom

***

[8]
# AgSbI, optimized geometry, DFT PBE-GGA
data_AgSbI
_space_group_name_H-M_alt 'P 1'
_space_group_IT_number 1
_cell_length_a 4.211
_cell_length_b 7.208
_cell_length_c 7.748
_cell_angle_alpha 115.34
_cell_angle_beta 95.25
_cell_angle_gamma 103.05
loop_
_space_group_symop_operation_xyz
'x,y,z'
loop_
_atom_site_label
_atom_site_fract_x
_atom_site_fract_y
_atom_site_fract_z
Ag1 0.000 0.000 0.000
Ag2 0.411 0.770 0.693
Sb1 0.393 0.750 0.111
Sb2 0.736 0.533 0.826
I1 0.049 0.034 0.633
I2 0.116 0.422 0.287
# Distance to the lowest polymorph of the same formula: 0.0732 eV/atom

***

[9]
# AgSb2I2, optimized geometry, DFT PBE-GGA
data_AgSb2I2
_space_group_name_H-M_alt 'P 4/m b m'
_space_group_IT_number 127
_space_group_name_Hall '-P 4 2ab'
_cell_length_a 7.521
_cell_length_b 7.521
_cell_length_c 5.917
_cell_angle_alpha 90.00
_cell_angle_beta 90.00
_cell_angle_gamma 90.00
loop_
_atom_site_label
_atom_site_fract_x
_atom_site_fract_y
_atom_site_fract_z
Ag1 0.000 0.000 0.000
Sb1 0.142 0.358 0.000
I1 0.189 0.311 0.500
# E: -28.30 eV/cell

***

[10]
# AgSbI, optimized geometry, DFT PBE-GGA
data_AgSbI
_space_group_name_H-M_alt 'P -1'
_space_group_IT_number 2
_cell_length_a 4.368
_cell_length_b 6.404
_cell_length_c 6.844
_cell_angle_alpha 91.43
_cell_angle_beta 92.23
_cell_angle_gamma 100.27
loop_
_space_group_symop_operation_xyz
'x,y,z'
'-x,-y,-z'
loop_
_atom_site_label
_atom_site_fract_x
_atom_site_fract_y
_atom_site_fract_z
Ag1 0.172 0.205 0.075
Sb1 0.214 0.927 0.373
I1 0.256 0.499 0.756
# Distance to the lowest polymorph of the same formula: 0.1429 eV/atom

***

Number 1: magnetization 0.82 Bohr magnetons per cell. Number 2: magnetization 0.00 Bohr magnetons per cell. Number 3: magnetization 0.00 Bohr magnetons per cell. Number 4: magnetization 0.00 Bohr magnetons per cell. Number 5: magnetization 0.00 Bohr magnetons per cell. Number 6: magnetization 0.00 Bohr magnetons per cell. Number 7: magnetization 0.00 Bohr magnetons per cell. Number 8: magnetization 0.00 Bohr magnetons per cell. Number 9: magnetization 0.00 Bohr magnetons per cell. Number 10: magnetization 0.00 Bohr magnetons per cell.